Entry 1:
Crystalline LaSn2Au at its relaxed geometry, computed with PBE-GGA.

Lattice parameters (Å, degrees): 4.742 9.642 18.711 90.00 90.00 90.00
Space group Immm (No. 71)
Symmetry-distinct sites (fractional):
La: 0.000 0.000 0.199 (multiplicity 4)
La: 0.000 0.244 0.000 (multiplicity 4)
Sn: 0.000 0.000 0.424 (multiplicity 4)
Sn: 0.000 0.346 0.197 (multiplicity 8)
Sn: 0.000 0.500 0.426 (multiplicity 4)
Au: 0.000 0.255 0.354 (multiplicity 8)

E_form ... -0.622 eV/atom

---

Entry 2:
Crystalline HfTlInN2 at its relaxed geometry, computed with PBE-GGA.

Lattice parameters (Å, degrees): 4.246 4.246 5.922 90.00 90.00 90.00
Space group P4/mmm (No. 123)
Symmetry-distinct sites (fractional):
Hf: 0.000 0.000 0.000 (multiplicity 1)
Tl: 0.500 0.500 0.500 (multiplicity 1)
In: 0.000 0.000 0.500 (multiplicity 1)
N: 0.000 0.500 0.000 (multiplicity 2)

Energy relative to the elements, uncorrected ... 0.407 eV/atom

---

Entry 3:
Crystalline LiSm3Er3Te8 at its relaxed geometry, computed with PBE-GGA.

Lattice parameters (Å, degrees): 8.7134 8.7134 21.4568 90.00 90.00 120.00
Space group R-3m (No. 166, hexagonal axes)
Symmetry-distinct sites (fractional):
Li: 0.0000 0.0000 0.0000 (multiplicity 3)
Sm: 0.0000 0.5000 0.5000 (multiplicity 9)
Er: 0.0000 0.5000 0.0000 (multiplicity 9)
Te: 0.0000 0.0000 0.2531 (multiplicity 6)
Te: 0.0026 0.5013 0.2526 (multiplicity 18)

Energy relative to the elements, uncorrected ... -1.334 eV/atom

---

Entry 4:
Crystalline ZnCoRu2 at its relaxed geometry, computed with PBE-GGA.

Lattice parameters (Å, degrees): 3.702 3.702 7.615 90.00 90.00 90.00
Space group I4/mmm (No. 139)
Symmetry-distinct sites (fractional):
Zn: 0.000 0.000 0.000 (multiplicity 2)
Co: 0.000 0.000 0.500 (multiplicity 2)
Ru: 0.000 0.500 0.250 (multiplicity 4)

E_form ... 0.182 eV/atom

---

Entry 5:
Crystalline Ti2CuAgH at its relaxed geometry, computed with PBE-GGA.

Lattice parameters (Å, degrees): 3.978 3.978 4.091 90.00 90.00 90.00
Space group P4/mmm (No. 123)
Symmetry-distinct sites (fractional):
Ti: 0.000 0.500 0.000 (multiplicity 2)
Cu: 0.000 0.000 0.500 (multiplicity 1)
Ag: 0.500 0.500 0.500 (multiplicity 1)
H: 0.000 0.000 0.000 (multiplicity 1)

Excess energy over the best structure of this formula in the dataset ... 0 meV/atom

---

Entry 6:
Crystalline NdFeCoGe2 at its relaxed geometry, computed with PBE-GGA.

Lattice parameters (Å, degrees): 4.060 4.060 10.141 90.00 90.00 90.00
Space group I-4m2 (No. 119)
Symmetry-distinct sites (fractional):
Nd: 0.000 0.000 0.000 (multiplicity 2)
Fe: 0.000 0.500 0.250 (multiplicity 2)
Co: 0.000 0.500 0.750 (multiplicity 2)
Ge: 0.000 0.000 0.366 (multiplicity 4)

E_form ... -0.531 eV/atom

---

Entry 7:
Crystalline PrThZnIr at its relaxed geometry, computed with PBE-GGA.

Lattice parameters (Å, degrees): 7.245 7.245 7.245 90.00 90.00 90.00
Space group F-43m (No. 216)
Symmetry-distinct sites (fractional):
Pr: 0.000 0.000 0.000 (multiplicity 4)
Th: 0.000 0.000 0.500 (multiplicity 4)
Zn: 0.250 0.250 0.750 (multiplicity 4)
Ir: 0.250 0.250 0.250 (multiplicity 4)

E_form ... -0.422 eV/atom

---

Entry 8:
Crystalline Li3Th2Se5 at its relaxed geometry, computed with PBE-GGA.

Lattice parameters (Å, degrees): 14.046 3.964 10.100 90.00 124.57 90.00
Space group C2/m (No. 12)
Symmetry-distinct sites (fractional):
Li: 0.000 0.000 0.000 (multiplicity 2)
Li: 0.132 0.500 0.388 (multiplicity 4)
Th: 0.169 0.000 0.754 (multiplicity 4)
Se: 0.000 0.500 0.500 (multiplicity 2)
Se: 0.110 0.500 0.919 (multiplicity 4)
Se: 0.193 0.000 0.292 (multiplicity 4)

Energy relative to the elements, uncorrected ... -1.508 eV/atom

---

| no. | total magnetization (Bohr magnetons per cell) | energy (eV/atom) | volume (A^3/atom) |
| --- | --- | --- | --- |
| 1 | 0.00 | -4.6751 | 26.7 |
| 2 | 0.96 | -5.9345 | 21.4 |
| 3 | 0.00 | -4.9931 | 31.4 |
| 4 | 0.00 | -6.5509 | 13.0 |
| 5 | 0.00 | -5.2780 | 12.9 |
| 6 | 0.00 | -6.4451 | 16.7 |
| 7 | 0.00 | -6.0053 | 23.8 |
| 8 | 0.00 | -5.3088 | 23.2 |